Entry 1:
First-principles (GGA-PBEsol) data for a relaxed P2Pb2O7 crystal, as listed in Alexandria.

space group: P-1 (2)
raw formation energy: -1.971 eV/atom

abc: 6.9559 6.9980 12.7520
angles: 83.51 89.94 89.54
Last column: nearest neighbours and their distance in Å.
Positions (direct):
P (0.0823, 0.2096, 0.1006)  4 O 1.52-1.64
P (0.2692, 0.6094, 0.4014)  4 O 1.53-1.64
P (0.3199, 0.8054, 0.5924)  4 O 1.52-1.63
P (0.3318, 0.1987, 0.9125)  4 O 1.51-1.63
P (0.6682, 0.8013, 0.0875)  4 O 1.51-1.63
P (0.6801, 0.1946, 0.4076)  4 O 1.52-1.63
P (0.7308, 0.3906, 0.5986)  4 O 1.53-1.64
P (0.9177, 0.7904, 0.8994)  4 O 1.52-1.64
Pb (0.1452, 0.1255, 0.3661)  6 O 2.50-2.67
Pb (0.1774, 0.7128, 0.1414)  5 O 2.44-2.61
Pb (0.2515, 0.3017, 0.6485)  6 O 2.48-2.72
Pb (0.4090, 0.6877, 0.8539)  4 O 2.42-2.65
Pb (0.5910, 0.3123, 0.1461)  4 O 2.42-2.65
Pb (0.7485, 0.6983, 0.3515)  6 O 2.48-2.72
Pb (0.8226, 0.2872, 0.8586)  5 O 2.44-2.61
Pb (0.8548, 0.8745, 0.6339)  6 O 2.50-2.67
O (0.0366, 0.0420, 0.1835)  1 P 1.52
O (0.0962, 0.7006, 0.9560)  1 P 1.53
O (0.1052, 0.7475, 0.3617)  1 P 1.54
O (0.1891, 0.9785, 0.5535)  1 P 1.55
O (0.1927, 0.3331, 0.8441)  1 P 1.54
O (0.1984, 0.4209, 0.4601)  1 P 1.53
O (0.1997, 0.6512, 0.6580)  1 P 1.54
O (0.2081, 0.1066, 0.0139)  2 P 1.63-1.64
O (0.2131, 0.3572, 0.1451)  1 P 1.54
O (0.3940, 0.7163, 0.4866)  2 P 1.63-1.64
O (0.4099, 0.0325, 0.8587)  1 P 1.51
O (0.4123, 0.5857, 0.3129)  1 P 1.53
O (0.4938, 0.3189, 0.9550)  1 P 1.55
O (0.4971, 0.8643, 0.6494)  1 P 1.52
O (0.5029, 0.1357, 0.3506)  1 P 1.52
O (0.5062, 0.6811, 0.0450)  1 P 1.55
O (0.5877, 0.4143, 0.6871)  1 P 1.53
O (0.5901, 0.9675, 0.1413)  1 P 1.51
O (0.6060, 0.2837, 0.5134)  2 P 1.63-1.64
O (0.7869, 0.6428, 0.8549)  1 P 1.54
O (0.7919, 0.8934, 0.9861)  2 P 1.63-1.64
O (0.8003, 0.3488, 0.3420)  1 P 1.54
O (0.8016, 0.5791, 0.5399)  1 P 1.53
O (0.8073, 0.6669, 0.1559)  1 P 1.54
O (0.8109, 0.0215, 0.4465)  1 P 1.55
O (0.8948, 0.2525, 0.6383)  1 P 1.54
O (0.9038, 0.2994, 0.0440)  1 P 1.53
O (0.9634, 0.9580, 0.8165)  1 P 1.52

Entry 2:
First-principles (GGA-PBEsol) data for a relaxed SbPb2Se crystal, as listed in Alexandria.

space group: C2/m (12)
raw formation energy: 0.001 eV/atom

abc: 6.2290 6.2290 5.4191
angles: 115.70 115.70 34.64
Last column: nearest neighbours and their distance in Å.
Positions (direct):
Sb (0.0000, 0.0000, 0.0000)  4 Se 3.28, 8 Pb 3.40-3.65
Pb (0.2306, 0.2306, 0.7305)  2 Se 3.07, 4 Pb 3.31, 2 Sb 3.40
Pb (0.7694, 0.7694, 0.2695)  2 Se 3.07, 4 Pb 3.31, 2 Sb 3.40
Se (0.5000, 0.5000, 0.5000)  4 Pb 3.07, 4 Sb 3.28

Entry 3:
First-principles (GGA-PBEsol) data for a relaxed CoSb3 crystal, as listed in Alexandria.

space group: Im-3 (204)
raw formation energy: -0.230 eV/atom

abc: 7.7793 7.7793 7.7793
angles: 109.47 109.47 109.47
Last column: nearest neighbours and their distance in Å.
Positions (direct):
Co (0.0000, 0.0000, 0.5000)  6 Sb 2.50
Co (0.0000, 0.5000, 0.0000)  6 Sb 2.50
Co (0.5000, 0.0000, 0.0000)  6 Sb 2.50
Co (0.5000, 0.5000, 0.5000)  6 Sb 2.50
Sb (0.1601, 0.4931, 0.3330)  2 Co 2.50
Sb (0.1601, 0.8270, 0.6670)  2 Co 2.50
Sb (0.1730, 0.3330, 0.8399)  2 Co 2.50
Sb (0.3330, 0.1601, 0.4931)  2 Co 2.50
Sb (0.3330, 0.8399, 0.1730)  2 Co 2.50
Sb (0.4931, 0.3330, 0.1601)  2 Co 2.50
Sb (0.5069, 0.6670, 0.8399)  2 Co 2.50
Sb (0.6670, 0.1601, 0.8270)  2 Co 2.50
Sb (0.6670, 0.8399, 0.5069)  2 Co 2.50
Sb (0.8270, 0.6670, 0.1601)  2 Co 2.50
Sb (0.8399, 0.1730, 0.3330)  2 Co 2.50
Sb (0.8399, 0.5069, 0.6670)  2 Co 2.50

Entry 4:
First-principles (GGA-PBEsol) data for a relaxed BaY3Ge crystal, as listed in Alexandria.

E_form: 111.6 kJ/mol of atoms
space group: Pm-3m (221)

abc: 5.5127 5.5127 5.5127
angles: 90.00 90.00 90.00
Last column: nearest neighbours and their distance in Å.
Positions (direct):
Ba (0.0000, 0.0000, 0.0000)  6 Y 2.76
Y (0.0000, 0.0000, 0.5000)  2 Ba 2.76
Y (0.0000, 0.5000, 0.0000)  2 Ba 2.76
Y (0.5000, 0.0000, 0.0000)  2 Ba 2.76
Ge (0.5000, 0.5000, 0.5000)  12 Y 3.90

Entry 5:
First-principles (GGA-PBEsol) data for a relaxed BaLaMg2 crystal, as listed in Alexandria.

E_form: -5.3 kJ/mol of atoms
space group: P4/mmm (123)

abc: 4.0726 4.0726 8.2570
angles: 90.00 90.00 90.00
Last column: nearest neighbours and their distance in Å.
Positions (direct):
Ba (0.0000, 0.0000, 0.0000)  8 Mg 3.71, 4 Ba 4.07, 2 La 4.13
La (0.0000, 0.0000, 0.5000)  8 Mg 3.39
Mg (0.5000, 0.5000, 0.2827)  4 La 3.39, 1 Mg 3.59, 4 Ba 3.71
Mg (0.5000, 0.5000, 0.7173)  4 La 3.39, 1 Mg 3.59, 4 Ba 3.71

Entry 6:
First-principles (GGA-PBEsol) data for a relaxed BaNiRu2 crystal, as listed in Alexandria.

E_form: 61.1 kJ/mol of atoms
space group: Pm (6)

abc: 2.9022 4.0192 6.6499
angles: 90.00 102.81 90.00
Last column: nearest neighbours and their distance in Å.
Positions (direct):
Ba (0.0000, 0.0000, 0.0000)  2 Ba 2.90, 4 Ni 3.17-3.18, 1 Ru 3.22
Ni (0.6540, 0.5000, 0.3059)  4 Ru 2.38-2.52
Ru (0.3154, 0.5000, 0.6237)  2 Ni 2.52, 4 Ru 2.60
Ru (0.7553, 0.0000, 0.5034)  2 Ni 2.38, 4 Ru 2.60

Entry 7:
First-principles (GGA-PBEsol) data for a relaxed Te3Cl2 crystal, as listed in Alexandria.

space group: P2_1/c (14)
raw formation energy: -0.197 eV/atom

abc: 12.1850 7.5167 6.7375
angles: 90.00 90.58 90.00
Last column: nearest neighbours and their distance in Å.
Positions (direct):
Te (0.0497, 0.1629, 0.0532)  2 Te 2.72-2.82
Te (0.0497, 0.3371, 0.5532)  2 Te 2.72-2.82
Te (0.2574, 0.0379, 0.0029)  2 Te 2.72-2.77
Te (0.2574, 0.4621, 0.5029)  2 Te 2.72-2.77
Te (0.3376, 0.0152, 0.3886)  2 Cl 2.53-2.57, 1 Te 2.77
Te (0.3376, 0.4848, 0.8886)  2 Cl 2.53-2.57, 1 Te 2.77
Te (0.6624, 0.5152, 0.1114)  2 Cl 2.53-2.57, 1 Te 2.77
Te (0.6624, 0.9848, 0.6114)  2 Cl 2.53-2.57, 1 Te 2.77
Te (0.7426, 0.5379, 0.4971)  2 Te 2.72-2.77
Te (0.7426, 0.9621, 0.9971)  2 Te 2.72-2.77
Te (0.9503, 0.6629, 0.4468)  2 Te 2.72-2.82
Te (0.9503, 0.8371, 0.9468)  2 Te 2.72-2.82
Cl (0.1485, 0.5605, 0.0326)  1 Te 2.57
Cl (0.1485, 0.9395, 0.5326)  1 Te 2.57
Cl (0.4822, 0.6134, 0.2584)  1 Te 2.53
Cl (0.4822, 0.8866, 0.7584)  1 Te 2.53
Cl (0.5178, 0.1134, 0.2416)  1 Te 2.53
Cl (0.5178, 0.3866, 0.7416)  1 Te 2.53
Cl (0.8515, 0.0605, 0.4674)  1 Te 2.57
Cl (0.8515, 0.4395, 0.9674)  1 Te 2.57

Entry 8:
First-principles (GGA-PBEsol) data for a relaxed Mn2NbS2 crystal, as listed in Alexandria.

space group: I4/mmm (139)
raw formation energy: -0.145 eV/atom

abc: 4.9284 4.9284 4.9284
angles: 132.32 132.32 69.73
Last column: nearest neighbours and their distance in Å.
Positions (direct):
Mn (0.1348, 0.1348, 0.0000)  1 Mn 2.18, 4 S 2.20
Mn (0.8652, 0.8652, 0.0000)  1 Mn 2.18, 4 S 2.20
Nb (0.5000, 0.5000, 0.0000)  8 S 2.84, 10 Mn 2.95-3.02
S (0.2500, 0.7500, 0.5000)  4 Mn 2.20
S (0.7500, 0.2500, 0.5000)  4 Mn 2.20

Entry 9:
First-principles (GGA-PBEsol) data for a relaxed Hg2IrPt crystal, as listed in Alexandria.

E_form: 30.9 kJ/mol of atoms
space group: P4/mmm (123)

abc: 4.5455 4.5455 3.2850
angles: 90.00 90.00 90.00
Last column: nearest neighbours and their distance in Å.
Positions (direct):
Hg (0.0000, 0.5000, 0.0000)  4 Ir 2.80, 4 Pt 2.80
Hg (0.5000, 0.0000, 0.0000)  4 Ir 2.80, 4 Pt 2.80
Ir (0.0000, 0.0000, 0.5000)  8 Hg 2.80
Pt (0.5000, 0.5000, 0.5000)  8 Hg 2.80

Entry 10:
First-principles (GGA-PBEsol) data for a relaxed MgAgPt2 crystal, as listed in Alexandria.

E_form: -38.4 kJ/mol of atoms
space group: Pmmm (47)

abc: 2.8398 3.8821 5.6482
angles: 90.00 90.00 90.00
Last column: nearest neighbours and their distance in Å.
Positions (direct):
Mg (0.0000, 0.0000, 0.0000)  8 Pt 2.78, 2 Ag 2.82, 2 Mg 2.84
Ag (0.0000, 0.0000, 0.5000)  8 Pt 2.80, 2 Mg 2.82, 2 Ag 2.84
Pt (0.5000, 0.5000, 0.2452)  4 Pt 2.77-2.88, 4 Mg 2.78, 4 Ag 2.80
Pt (0.5000, 0.5000, 0.7548)  4 Pt 2.77-2.88, 4 Mg 2.78, 4 Ag 2.80

Entry 11:
First-principles (GGA-PBEsol) data for a relaxed FeAgOs crystal, as listed in Alexandria.

E_form: 91.3 kJ/mol of atoms
space group: F-43m (216)

abc: 3.9995 3.9995 3.9995
angles: 60.00 60.00 60.00
Last column: nearest neighbours and their distance in Å.
Positions (direct):
Fe (0.0000, 0.0000, 0.0000)  4 Ag 2.45, 4 Os 2.45
Ag (0.2500, 0.2500, 0.2500)  4 Fe 2.45
Os (0.7500, 0.7500, 0.7500)  4 Fe 2.45

Entry 12:
First-principles (GGA-PBEsol) data for a relaxed ReTc crystal, as listed in Alexandria.

E_form: 6.7 kJ/mol of atoms
space group: R-3m (166)

abc: 9.0252 9.0252 9.0252
angles: 17.41 17.41 17.41
Last column: nearest neighbours and their distance in Å.
Positions (direct):
Re (0.1243, 0.1243, 0.1243)  3 Tc 2.72, 9 Re 2.73-2.76
Re (0.8757, 0.8757, 0.8757)  3 Tc 2.72, 9 Re 2.73-2.76
Tc (0.3746, 0.3746, 0.3746)  9 Tc 2.71-2.73, 3 Re 2.72
Tc (0.6254, 0.6254, 0.6254)  9 Tc 2.71-2.73, 3 Re 2.72

Entry 13:
First-principles (GGA-PBEsol) data for a relaxed K3NaCr2O8 crystal, as listed in Alexandria.

space group: P-3m1 (164)
raw formation energy: -1.991 eV/atom

abc: 5.8126 5.8126 7.4852
angles: 90.00 90.00 120.00
Last column: nearest neighbours and their distance in Å.
Positions (direct):
K (0.0000, 0.0000, 0.0000)  6 O 2.89
K (0.3333, 0.6667, 0.3370)  1 O 2.57
K (0.6667, 0.3333, 0.6630)  1 O 2.57
Na (0.0000, 0.0000, 0.5000)  6 O 2.34
Cr (0.3333, 0.6667, 0.7763)  4 O 1.63-1.65
Cr (0.6667, 0.3333, 0.2237)  4 O 1.63-1.65
O (0.1796, 0.3591, 0.6985)  1 Cr 1.65
O (0.1796, 0.8204, 0.6985)  1 Cr 1.65
O (0.3333, 0.6667, 0.9937)  1 Cr 1.63
O (0.3591, 0.1796, 0.3015)  1 Cr 1.65
O (0.6409, 0.8204, 0.6985)  1 Cr 1.65
O (0.6667, 0.3333, 0.0063)  1 Cr 1.63
O (0.8204, 0.1796, 0.3015)  1 Cr 1.65
O (0.8204, 0.6409, 0.3015)  1 Cr 1.65

Entry 14:
First-principles (GGA-PBEsol) data for a relaxed CaAuCl2 crystal, as listed in Alexandria.

space group: I-4m2 (119)
raw formation energy: -1.065 eV/atom

abc: 5.8683 5.8683 5.8683
angles: 140.10 140.10 57.71
Last column: nearest neighbours and their distance in Å.
Positions (direct):
Ca (0.0000, 0.0000, 0.0000)  4 Cl 2.83
Au (0.2500, 0.7500, 0.5000)  4 Cl 2.83
Cl (0.5000, 0.5000, 0.0000)  4 Ca 2.83
Cl (0.7500, 0.2500, 0.5000)  4 Au 2.83

Entry 15:
First-principles (GGA-PBEsol) data for a relaxed FeSe3O crystal, as listed in Alexandria.

space group: Pm-3m (221)
raw formation energy: 0.635 eV/atom

abc: 4.3846 4.3846 4.3846
angles: 90.00 90.00 90.00
Last column: nearest neighbours and their distance in Å.
Positions (direct):
Fe (0.0000, 0.0000, 0.0000)  12 Se 3.10
Se (0.0000, 0.5000, 0.5000)  2 O 2.19
Se (0.5000, 0.0000, 0.5000)  2 O 2.19
Se (0.5000, 0.5000, 0.0000)  2 O 2.19
O (0.5000, 0.5000, 0.5000)  6 Se 2.19

Entry 16:
First-principles (GGA-PBEsol) data for a relaxed Ba2GaAg2 crystal, as listed in Alexandria.

E_form: -13.7 kJ/mol of atoms
space group: I4/mmm (139)

abc: 10.1603 10.1603 10.1603
angles: 157.89 157.89 31.47
Last column: nearest neighbours and their distance in Å.
Positions (direct):
Ba (0.1052, 0.1052, 0.0000)  4 Ag 3.44, 4 Ga 3.44
Ba (0.8948, 0.8948, 0.0000)  4 Ag 3.44, 4 Ga 3.44
Ga (0.5000, 0.5000, 0.0000)  8 Ba 3.44
Ag (0.2500, 0.7500, 0.5000)  4 Ag 2.76
Ag (0.7500, 0.2500, 0.5000)  4 Ag 2.76

Entry 17:
First-principles (GGA-PBEsol) data for a relaxed Ba2LaMn crystal, as listed in Alexandria.

E_form: 35.4 kJ/mol of atoms
space group: Pm (6)

abc: 3.8855 3.8853 10.1462
angles: 90.00 90.04 90.00
Last column: nearest neighbours and their distance in Å.
Positions (direct):
Ba (0.0000, 0.0000, 0.0000)  4 Ba 3.89, 4 La 4.08
Ba (0.4981, 0.5000, 0.3468)  4 Mn 3.48, 1 La 3.61, 4 Ba 3.89
La (0.4983, 0.5000, 0.7027)  4 Mn 3.12
Mn (0.9977, 0.0000, 0.5577)  4 La 3.12, 4 Ba 3.48

Entry 18:
First-principles (GGA-PBEsol) data for a relaxed CrBPd3 crystal, as listed in Alexandria.

E_form: 173.9 kJ/mol of atoms
space group: Pm-3m (221)

abc: 4.4491 4.4491 4.4491
angles: 90.00 90.00 90.00
Last column: nearest neighbours and their distance in Å.
Positions (direct):
Cr (0.0000, 0.0000, 0.0000)  6 Pd 2.22
B (0.5000, 0.5000, 0.5000)  12 Pd 3.15
Pd (0.0000, 0.0000, 0.5000)  2 Cr 2.22
Pd (0.0000, 0.5000, 0.0000)  2 Cr 2.22
Pd (0.5000, 0.0000, 0.0000)  2 Cr 2.22

Entry 19:
First-principles (GGA-PBEsol) data for a relaxed NiTe2As crystal, as listed in Alexandria.

space group: P4mm (99)
raw formation energy: 0.087 eV/atom

abc: 3.0638 3.0638 9.1003
angles: 90.00 90.00 90.00
Last column: nearest neighbours and their distance in Å.
Positions (direct):
Ni (0.0000, 0.0000, 0.0000)  4 As 2.48
Te (0.0000, 0.0000, 0.5626)  4 Te 3.06
Te (0.5000, 0.5000, 0.2032)  4 Ni 2.85, 4 Te 3.06, 1 As 3.06
As (0.5000, 0.5000, 0.8665)  4 Ni 2.48

Entry 20:
First-principles (GGA-PBEsol) data for a relaxed Li2FeP2 crystal, as listed in Alexandria.

E_form: -58.8 kJ/mol of atoms
space group: P4/mbm (127)

abc: 5.6694 5.6694 3.9714
angles: 90.00 90.00 90.00
Last column: nearest neighbours and their distance in Å.
Positions (direct):
Li (0.1746, 0.3254, 0.0000)  6 P 2.48-2.68
Li (0.3254, 0.8254, 0.0000)  6 P 2.48-2.68
Li (0.6746, 0.1746, 0.0000)  6 P 2.48-2.68
Li (0.8254, 0.6746, 0.0000)  6 P 2.48-2.68
Fe (0.0000, 0.0000, 0.5000)  4 P 2.19
Fe (0.5000, 0.5000, 0.5000)  4 P 2.19
P (0.1396, 0.6396, 0.5000)  2 Fe 2.19, 1 P 2.24
P (0.3604, 0.1396, 0.5000)  2 Fe 2.19, 1 P 2.24
P (0.6396, 0.8604, 0.5000)  2 Fe 2.19, 1 P 2.24
P (0.8604, 0.3604, 0.5000)  2 Fe 2.19, 1 P 2.24